[1]
# LaNdCdAg

A relaxed structure of LaNdCdAg (PBE, Alexandria via LeMat-Bulk).

Values from the calculation:
M_tot in μB/atom: 0.093
SG: P4mm, No. 99
Calculated formation energy in eV per formula unit: -1.2
ΔE to the lowest computed polymorph in kcal/mol of atoms: 0.00
Calculated total energy in eV/atom: -3.65

Cell lengths 3.8474, 3.8474, 7.6704 Å; angles 90.00, 90.00, 90.00 degrees
Site moments in Bohr magnetons follow the coordinates.
Fractional coordinates of all 4 atoms:
La: 0.0000 0.0000 0.8639  0.11
Nd: 0.0000 0.0000 0.3482  0.06
Cd: 0.5000 0.5000 0.5980  0.00
Ag: 0.5000 0.5000 0.1178  0.01

---

[2]
# LaNdCdAg

A relaxed structure of LaNdCdAg (PBE, Alexandria via LeMat-Bulk).

Values from the calculation:
M_tot in μB/atom: 0.077
SG: F-43m, No. 216
Calculated formation energy in eV per formula unit: -1.1
ΔE to the lowest computed polymorph in kcal/mol of atoms: 0.26
Calculated total energy in eV/atom: -3.64

Cell lengths 5.4421, 5.4421, 5.4421 Å; angles 60.00, 60.00, 60.00 degrees
Site moments in Bohr magnetons follow the coordinates.
Fractional coordinates of all 4 atoms:
Cd: 0.7500 0.7500 0.7500  0.00
Nd: 0.5000 0.5000 0.5000  0.08
Ag: 0.2500 0.2500 0.2500  0.01
La: 0.0000 0.0000 0.0000  0.07

---

[3]
# La2CdNiAg

A relaxed structure of La2CdNiAg (PBE, Alexandria via LeMat-Bulk).

Values from the calculation:
M_tot in μB/atom: 0.000
SG: P4/mmm, No. 123
Calculated formation energy in eV per formula unit: -0.8
ΔE to the lowest computed polymorph in kcal/mol of atoms: 0.00
Calculated total energy in eV/atom: -4.05

Cell lengths 5.3568, 5.3568, 4.9403 Å; angles 90.00, 90.00, 90.00 degrees
Fractional coordinates of all 5 atoms:
Ni: 0.0000 0.0000 0.0000
Cd: 0.0000 0.0000 0.5000
Ag: 0.5000 0.5000 0.5000
La: 0.0000 0.5000 0.0000
La: 0.5000 0.0000 0.0000

---

[4]
# La2CdNiAg

A relaxed structure of La2CdNiAg (PBE, Alexandria via LeMat-Bulk).

Values from the calculation:
M_tot in μB/atom: 0.000
SG: P4/mmm, No. 123
Calculated formation energy in eV per formula unit: -0.8
ΔE to the lowest computed polymorph in kcal/mol of atoms: 0.35
Calculated total energy in eV/atom: -4.03

Cell lengths 5.3120, 5.3120, 4.9655 Å; angles 90.00, 90.00, 90.00 degrees
Fractional coordinates of all 5 atoms:
Ni: 0.0000 0.0000 0.0000
Cd: 0.5000 0.5000 0.5000
Ag: 0.0000 0.0000 0.5000
La: 0.0000 0.5000 0.0000
La: 0.5000 0.0000 0.0000

---

[5]
# LaCd2AgP

A relaxed structure of LaCd2AgP (PBE, Alexandria via LeMat-Bulk).

Values from the calculation:
M_tot in μB/atom: 0.000
SG: P4/mmm, No. 123
Calculated formation energy in eV per formula unit: -0.2
Calculated total energy in eV/atom: -3.04

Cell lengths 5.0611, 5.5852, 5.0611 Å; angles 90.00, 90.00, 90.00 degrees
Fractional coordinates of all 5 atoms:
P: 0.0000 0.0000 0.0000
Cd: 0.0000 0.0000 0.5000
Cd: 0.5000 0.0000 0.0000
Ag: 0.5000 0.5000 0.5000
La: 0.0000 0.5000 0.0000

---

[6]
# La2CdAg2Pd5

A relaxed structure of La2CdAg2Pd5 (PBE, Alexandria via LeMat-Bulk).

Values from the calculation:
M_tot in μB/atom: 0.000
SG: P4/mbm, No. 127
Calculated formation energy in eV per formula unit: -4.9
Calculated total energy in eV/atom: -4.73

Cell lengths 4.1044, 9.9179, 9.9179 Å; angles 90.00, 90.00, 90.00 degrees
Fractional coordinates of all 20 atoms:
La: 0.0000 0.6757 0.1757
La: 0.0000 0.3243 0.8243
La: 0.0000 0.1757 0.3243
La: 0.0000 0.8243 0.6757
Cd: 0.0000 0.0000 0.0000
Cd: 0.0000 0.5000 0.5000
Ag: 0.0000 0.1233 0.6233
Ag: 0.0000 0.8767 0.3767
Ag: 0.0000 0.6233 0.8767
Ag: 0.0000 0.3767 0.1233
Pd: 0.5000 0.2008 0.0595
Pd: 0.5000 0.7992 0.9405
Pd: 0.5000 0.0595 0.7992
Pd: 0.5000 0.7008 0.4405
Pd: 0.5000 0.9405 0.2008
Pd: 0.5000 0.2992 0.5595
Pd: 0.5000 0.5595 0.7008
Pd: 0.5000 0.4405 0.2992
Pd: 0.5000 0.5000 0.0000
Pd: 0.5000 0.0000 0.5000

---

[7]
# La2Cd2AgPd5

A relaxed structure of La2Cd2AgPd5 (PBE, Alexandria via LeMat-Bulk).

Values from the calculation:
M_tot in μB/atom: 0.000
SG: P4/mbm, No. 127
Calculated formation energy in eV per formula unit: -4.1
Calculated total energy in eV/atom: -4.46

Cell lengths 3.9465, 10.2523, 10.2523 Å; angles 90.00, 90.00, 90.00 degrees
Fractional coordinates of all 20 atoms:
La: 0.0000 0.6758 0.1758
La: 0.0000 0.3242 0.8242
La: 0.0000 0.1758 0.3242
La: 0.0000 0.8242 0.6758
Cd: 0.0000 0.1234 0.6234
Cd: 0.0000 0.8766 0.3766
Cd: 0.0000 0.6234 0.8766
Cd: 0.0000 0.3766 0.1234
Ag: 0.0000 0.0000 0.0000
Ag: 0.0000 0.5000 0.5000
Pd: 0.5000 0.1976 0.0535
Pd: 0.5000 0.8024 0.9465
Pd: 0.5000 0.0535 0.8024
Pd: 0.5000 0.6976 0.4465
Pd: 0.5000 0.9465 0.1976
Pd: 0.5000 0.3024 0.5535
Pd: 0.5000 0.5535 0.6976
Pd: 0.5000 0.4465 0.3024
Pd: 0.5000 0.5000 0.0000
Pd: 0.5000 0.0000 0.5000

---

[8]
# LaCdAgPd

A relaxed structure of LaCdAgPd (PBE, Alexandria via LeMat-Bulk).

Values from the calculation:
M_tot in μB/atom: 0.000
SG: Cm, No. 8
Calculated formation energy in eV per formula unit: -1.9
Calculated total energy in eV/atom: -3.95

Cell lengths 4.8146, 4.8110, 5.4145 Å; angles 116.24, 90.00, 120.02 degrees
Fractional coordinates of all 4 atoms:
La: 0.6181 0.2362 0.4973
Cd: 0.1072 0.2143 0.9633
Ag: 0.8389 0.6779 0.1592
Pd: 0.4021 0.8041 0.8475

---

[9]
# LaPm2Cd2Ag2

A relaxed structure of LaPm2Cd2Ag2 (PBE, Alexandria via LeMat-Bulk).

Values from the calculation:
M_tot in μB/atom: 0.000
SG: R-3m, No. 166
Calculated formation energy in eV per formula unit: -1.5
Calculated total energy in eV/atom: -3.35

Cell lengths 4.9448, 4.9448, 9.4680 Å; angles 74.86, 74.86, 60.00 degrees
Fractional coordinates of all 7 atoms:
La: 0.0000 0.0000 0.0000
Pm: 0.1263 0.1263 0.6211
Pm: 0.8737 0.8737 0.3789
Cd: 0.7402 0.7402 0.7793
Cd: 0.2598 0.2598 0.2207
Ag: 0.5954 0.5954 0.2137
Ag: 0.4046 0.4046 0.7863

---

[10]
# LaPrCdAg

A relaxed structure of LaPrCdAg (PBE, Alexandria via LeMat-Bulk).

Values from the calculation:
M_tot in μB/atom: 0.102
SG: P4mm, No. 99
Calculated formation energy in eV per formula unit: -1.1
ΔE to the lowest computed polymorph in kcal/mol of atoms: 0.00
Calculated total energy in eV/atom: -3.66

Cell lengths 3.8671, 3.8671, 7.6736 Å; angles 90.00, 90.00, 90.00 degrees
Site moments in Bohr magnetons follow the coordinates.
Fractional coordinates of all 4 atoms:
La: 0.0000 0.0000 0.8496  0.10
Pr: 0.0000 0.0000 0.3651  0.09
Cd: 0.5000 0.5000 0.1124  0.00
Ag: 0.5000 0.5000 0.6008  0.01

---

[11]
# LaPr2Cd2Ag2

A relaxed structure of LaPr2Cd2Ag2 (PBE, Alexandria via LeMat-Bulk).

Values from the calculation:
M_tot in μB/atom: 0.000
SG: R-3m, No. 166
Calculated formation energy in eV per formula unit: -1.5
Calculated total energy in eV/atom: -3.36

Cell lengths 4.9619, 4.9619, 9.5862 Å; angles 75.00, 75.00, 60.00 degrees
Fractional coordinates of all 7 atoms:
La: 0.0000 0.0000 0.0000
Pr: 0.1256 0.1256 0.6232
Pr: 0.8744 0.8744 0.3768
Cd: 0.7382 0.7382 0.7855
Cd: 0.2618 0.2618 0.2145
Ag: 0.5985 0.5985 0.2046
Ag: 0.4015 0.4015 0.7954

---

[12]
# LaPrCdAg

A relaxed structure of LaPrCdAg (PBE, Alexandria via LeMat-Bulk).

Values from the calculation:
M_tot in μB/atom: 0.095
SG: F-43m, No. 216
Calculated formation energy in eV per formula unit: -1.1
ΔE to the lowest computed polymorph in kcal/mol of atoms: 0.24
Calculated total energy in eV/atom: -3.64

Cell lengths 5.4608, 5.4608, 5.4608 Å; angles 60.00, 60.00, 60.00 degrees
Site moments in Bohr magnetons follow the coordinates.
Fractional coordinates of all 4 atoms:
Pr: 0.5000 0.5000 0.5000  0.10
Cd: 0.7500 0.7500 0.7500  0.00
Ag: 0.2500 0.2500 0.2500  0.01
La: 0.0000 0.0000 0.0000  0.08